--- P ---
Material: Ba5Sr4
Method: DFT, SCAN
State: PBEsol geometry

a = 10.396 Å, b = 10.396 Å, c = 10.396 Å
α = 93.10°, β = 93.10°, γ = 153.09°
Fractional positions:
Ba1 0.000 0.000 0.000
Ba2 0.334 0.334 0.667
Ba3 0.334 0.666 0.000
Ba4 0.666 0.334 0.000
Ba5 0.666 0.666 0.333
Sr1 0.000 0.336 0.336
Sr2 0.000 0.664 0.664
Sr3 0.336 0.000 0.336
Sr4 0.664 0.000 0.664

Summary:
total magnetization: 0.26 Bohr magnetons per cell

--- Q ---
Material: Ba5Sr4
Method: DFT, SCAN
State: PBEsol geometry

a = 11.906 Å, b = 11.906 Å, c = 8.147 Å
α = 90.00°, β = 90.00°, γ = 120.00°
Fractional positions:
Ba1 0.000 0.339 0.250
Ba2 0.000 0.661 0.750
Ba3 0.333 0.667 0.000
Ba4 0.333 0.667 0.500
Ba5 0.339 0.000 0.250
Ba6 0.339 0.339 0.750
Ba7 0.661 0.000 0.750
Ba8 0.661 0.661 0.250
Ba9 0.667 0.333 0.000
Ba10 0.667 0.333 0.500
Sr1 0.000 0.000 0.000
Sr2 0.000 0.000 0.500
Sr3 0.000 0.326 0.750
Sr4 0.000 0.674 0.250
Sr5 0.326 0.000 0.750
Sr6 0.326 0.326 0.250
Sr7 0.674 0.000 0.250
Sr8 0.674 0.674 0.750

Summary:
total magnetization: 1.89 Bohr magnetons per cell

Stability order, top to bottom: P, Q

--- P ---
Material: Ba2Sr
Method: DFT, SCAN
State: PBEsol geometry

a = 6.909 Å, b = 6.909 Å, c = 8.211 Å
α = 90.00°, β = 90.00°, γ = 120.00°
Fractional positions:
Ba1 0.000 0.000 0.000
Ba2 0.000 0.000 0.500
Ba3 0.333 0.667 0.250
Ba4 0.667 0.333 0.750
Sr1 0.333 0.667 0.750
Sr2 0.667 0.333 0.250

Summary:
total magnetization: 0.35 Bohr magnetons per cell

--- Q ---
Material: Ba2Sr
Method: DFT, SCAN
State: PBEsol geometry

a = 7.460 Å, b = 7.460 Å, c = 7.460 Å
α = 146.61°, β = 131.32°, γ = 60.31°
Fractional positions:
Ba1 0.166 0.166 0.000
Ba2 0.834 0.834 0.000
Sr1 0.500 0.500 0.000

Summary:
total magnetization: 0.10 Bohr magnetons per cell

--- R ---
Material: Ba2Sr
Method: DFT, SCAN
State: PBEsol geometry

a = 6.831 Å, b = 6.831 Å, c = 4.432 Å
α = 90.00°, β = 90.00°, γ = 90.00°
Fractional positions:
Ba1 0.000 0.500 0.000
Ba2 0.500 0.000 0.000
Sr1 0.000 0.000 0.500

Summary:
total magnetization: 0.72 Bohr magnetons per cell

--- S ---
Material: Ba2Sr
Method: DFT, SCAN
State: PBEsol geometry

a = 20.425 Å, b = 20.425 Å, c = 20.425 Å
α = 168.42°, β = 168.42°, γ = 16.40°
Fractional positions:
Ba1 0.295 0.545 0.750
Ba2 0.455 0.705 0.750
Ba3 0.545 0.295 0.250
Ba4 0.705 0.455 0.250
Sr1 0.125 0.875 0.250
Sr2 0.875 0.125 0.750

Summary:
total magnetization: 0.06 Bohr magnetons per cell

Stability order, top to bottom: Q, P, S, R

--- P ---
Material: Ba5Sr
Method: DFT, SCAN
State: PBEsol geometry

a = 7.477 Å, b = 7.477 Å, c = 7.082 Å
α = 90.00°, β = 90.00°, γ = 120.00°
Fractional positions:
Ba1 0.000 0.333 0.000
Ba2 0.333 0.000 0.000
Ba3 0.333 0.667 0.500
Ba4 0.667 0.333 0.500
Ba5 0.667 0.667 0.000
Sr1 0.000 0.000 0.500

Summary:
total magnetization: 0.26 Bohr magnetons per cell

--- Q ---
Material: Ba5Sr
Method: DFT, SCAN
State: PBEsol geometry

a = 8.304 Å, b = 8.304 Å, c = 10.303 Å
α = 105.00°, β = 105.00°, γ = 30.09°
Fractional positions:
Ba1 0.000 0.000 0.000
Ba2 0.055 0.055 0.608
Ba3 0.334 0.334 0.664
Ba4 0.669 0.669 0.332
Ba5 0.725 0.725 0.946
Sr1 0.390 0.390 0.277

Summary:
total magnetization: 0.16 Bohr magnetons per cell

Stability order, top to bottom: P, Q

--- P ---
Material: Ba5Sr3
Method: DFT, SCAN
State: PBEsol geometry

a = 8.319 Å, b = 8.319 Å, c = 6.803 Å
α = 90.00°, β = 90.00°, γ = 109.43°
Fractional positions:
Ba1 0.000 0.000 0.000
Ba2 0.000 0.500 0.000
Ba3 0.251 0.251 0.500
Ba4 0.500 0.000 0.000
Ba5 0.749 0.749 0.500
Sr1 0.249 0.751 0.500
Sr2 0.500 0.500 0.000
Sr3 0.751 0.249 0.500

Summary:
total magnetization: 0.00 Bohr magnetons per cell

--- Q ---
Material: Ba5Sr3
Method: DFT, SCAN
State: PBEsol geometry

a = 11.590 Å, b = 11.590 Å, c = 11.590 Å
α = 96.19°, β = 96.19°, γ = 141.65°
Fractional positions:
Ba1 0.073 0.771 0.843
Ba2 0.229 0.073 0.302
Ba3 0.250 0.750 0.500
Ba4 0.271 0.573 0.843
Ba5 0.427 0.271 0.698
Ba6 0.573 0.729 0.302
Ba7 0.729 0.427 0.157
Ba8 0.750 0.250 0.500
Ba9 0.771 0.927 0.698
Ba10 0.927 0.229 0.157
Sr1 0.177 0.323 0.500
Sr2 0.250 0.250 0.000
Sr3 0.323 0.823 0.146
Sr4 0.677 0.177 0.854
Sr5 0.750 0.750 0.000
Sr6 0.823 0.677 0.500

Summary:
total magnetization: 1.08 Bohr magnetons per cell

--- R ---
Material: Ba5Sr3
Method: DFT, SCAN
State: PBEsol geometry

a = 11.749 Å, b = 11.749 Å, c = 7.733 Å
α = 90.00°, β = 90.00°, γ = 120.00°
Fractional positions:
Ba1 0.000 0.236 0.250
Ba2 0.000 0.764 0.750
Ba3 0.236 0.000 0.250
Ba4 0.236 0.236 0.750
Ba5 0.333 0.667 0.000
Ba6 0.333 0.667 0.500
Ba7 0.667 0.333 0.000
Ba8 0.667 0.333 0.500
Ba9 0.764 0.000 0.750
Ba10 0.764 0.764 0.250
Sr1 0.000 0.412 0.750
Sr2 0.000 0.588 0.250
Sr3 0.412 0.000 0.750
Sr4 0.412 0.412 0.250
Sr5 0.588 0.000 0.250
Sr6 0.588 0.588 0.750

Summary:
total magnetization: 1.93 Bohr magnetons per cell

Stability order, top to bottom: P, Q, R

--- P ---
Material: BaSrTa2
Method: DFT, SCAN
State: PBEsol geometry

a = 3.067 Å, b = 5.772 Å, c = 6.741 Å
α = 90.00°, β = 101.30°, γ = 90.00°
Fractional positions:
Ba1 0.000 0.000 0.000
Sr1 0.500 0.000 0.500
Ta1 0.279 0.500 0.666
Ta2 0.721 0.500 0.334

Summary:
total magnetization: 0.00 Bohr magnetons per cell

--- Q ---
Material: BaSrTa2
Method: DFT, SCAN
State: PBEsol geometry

a = 4.792 Å, b = 4.792 Å, c = 8.826 Å
α = 92.62°, β = 92.62°, γ = 40.05°
Fractional positions:
Ba1 0.000 0.000 0.000
Sr1 0.235 0.235 0.598
Ta1 0.488 0.488 0.344
Ta2 0.757 0.757 0.272

Summary:
total magnetization: 0.26 Bohr magnetons per cell

Stability order, top to bottom: Q, P

--- P ---
Material: BaSr2Tc
Method: DFT, SCAN
State: PBEsol geometry

a = 7.747 Å, b = 7.747 Å, c = 7.747 Å
α = 152.84°, β = 135.94°, γ = 52.52°
Fractional positions:
Ba1 0.000 0.000 0.000
Sr1 0.330 0.830 0.500
Sr2 0.659 0.659 0.000
Tc1 0.836 0.336 0.500

Summary:
total magnetization: 1.63 Bohr magnetons per cell

--- Q ---
Material: BaSr2Tc
Method: DFT, SCAN
State: PBEsol geometry

a = 11.833 Å, b = 11.833 Å, c = 11.833 Å
α = 18.48°, β = 18.48°, γ = 18.48°
Fractional positions:
Ba1 0.000 0.000 0.000
Sr1 0.227 0.227 0.227
Sr2 0.773 0.773 0.773
Tc1 0.500 0.500 0.500

Summary:
total magnetization: 2.29 Bohr magnetons per cell

Stability order, top to bottom: P, Q

--- P ---
Material: Ba2SrZr
Method: DFT, SCAN
State: PBEsol geometry

a = 6.143 Å, b = 6.143 Å, c = 6.143 Å
α = 60.00°, β = 60.00°, γ = 60.00°
Fractional positions:
Ba1 0.250 0.250 0.250
Ba2 0.750 0.750 0.750
Sr1 0.000 0.000 0.000
Zr1 0.500 0.500 0.500

Summary:
total magnetization: 2.39 Bohr magnetons per cell

--- Q ---
Material: Ba2SrZr
Method: DFT, SCAN
State: PBEsol geometry

a = 6.673 Å, b = 6.673 Å, c = 3.778 Å
α = 90.00°, β = 90.00°, γ = 109.22°
Fractional positions:
Ba1 0.000 0.500 0.000
Ba2 0.500 0.000 0.000
Sr1 0.000 0.000 0.500
Zr1 0.500 0.500 0.500

Summary:
total magnetization: 2.59 Bohr magnetons per cell

Stability order, top to bottom: P, Q

--- P ---
Material: BaTa3
Method: DFT, SCAN
State: PBEsol geometry

a = 3.187 Å, b = 3.187 Å, c = 10.144 Å
α = 90.00°, β = 90.00°, γ = 120.00°
Fractional positions:
Ba1 0.000 0.000 0.000
Ta1 0.000 0.000 0.500
Ta2 0.333 0.667 0.298
Ta3 0.333 0.667 0.702

Summary:
total magnetization: 0.00 Bohr magnetons per cell

--- Q ---
Material: BaTa3
Method: DFT, SCAN
State: PBEsol geometry

a = 5.080 Å, b = 5.080 Å, c = 5.080 Å
α = 90.00°, β = 90.00°, γ = 90.00°
Fractional positions:
Ba1 0.000 0.000 0.000
Ta1 0.000 0.000 0.500
Ta2 0.000 0.500 0.000
Ta3 0.500 0.000 0.000

Summary:
total magnetization: 0.00 Bohr magnetons per cell

Stability order, top to bottom: P, Q